The following is a PBE calculation of a geometry-optimized Tm2TlBi structure, from the Alexandria database.

Cell: 4.126 4.126 8.649 Å, 76.20 76.20 60.00°
Element x y z (fractional)
1 Tm 0.255 0.255 0.236
2 Tm 0.078 0.078 0.766
3 Bi 0.668 0.668 0.997
4 Tl 0.499 0.499 0.502

DFT formation energy, eV per atom: -0.353
VASP energy, eV per atom: -4.151
Total moment, μB/atom: 0.00